1.
DFT (GGA-PBE) results for crystalline Mg2ZnHPt at its relaxed geometry.

Calculated values
Calculated volume (Å³/cell): 70.7
Energy above the lowest structure with this stoichiometry (meV per atom): 0

Cell lengths 4.4210, 4.4210, 3.6177 Å; angles 90.00, 90.00, 90.00 degrees
Last column: nearest neighbours and their distance in Å.
Space group P4/mmm (No. 123)
Asymmetric unit:
Mg  0.0000  0.5000  0.0000 x2  2 H 2.21
Zn  0.0000  0.0000  0.5000 x1  8 Mg 2.86, 4 Pt 3.13
H  0.5000  0.5000  0.0000 x1  2 Pt 1.81
Pt  0.5000  0.5000  0.5000 x1  2 H 1.81

2.
DFT (GGA-PBE) results for crystalline MgZnHPt2 at its relaxed geometry.

Calculated values
Calculated volume (Å³/cell): 64.5
Energy above the lowest structure with this stoichiometry (meV per atom): 35

Cell lengths 4.0425, 4.0425, 3.9476 Å; angles 90.00, 90.00, 90.00 degrees
Last column: nearest neighbours and their distance in Å.
Space group P4/mmm (No. 123)
Asymmetric unit:
Mg  0.0000  0.0000  0.0000 x1  8 Pt 2.83, 4 Zn 2.86
Zn  0.5000  0.5000  0.0000 x1  2 H 1.97
H  0.5000  0.5000  0.5000 x1  2 Zn 1.97, 4 Pt 2.02
Pt  0.0000  0.5000  0.5000 x2  2 H 2.02

3.
DFT (GGA-PBE) results for crystalline Mg2ZnHPt at its relaxed geometry.

Calculated values
Calculated volume (Å³/cell): 67.7
Energy above the lowest structure with this stoichiometry (meV per atom): 8

Cell lengths 4.2376, 4.2376, 3.7677 Å; angles 90.00, 90.00, 90.00 degrees
Last column: nearest neighbours and their distance in Å.
Space group P4/mmm (No. 123)
Asymmetric unit:
Mg  0.0000  0.5000  0.0000 x2  2 H 2.12
Zn  0.0000  0.0000  0.5000 x1  2 H 1.88
H  0.0000  0.0000  0.0000 x1  2 Zn 1.88
Pt  0.5000  0.5000  0.5000 x1  8 Mg 2.84, 4 Zn 3.00

4.
DFT (GGA-PBE) results for crystalline MgZn2HPt at its relaxed geometry.

Calculated values
Calculated volume (Å³/cell): 63.6

Cell lengths 3.9993, 3.9993, 3.9783 Å; angles 90.00, 90.00, 90.00 degrees
Last column: nearest neighbours and their distance in Å.
Space group P4/mmm (No. 123)
Asymmetric unit:
Mg  0.0000  0.0000  0.0000 x1  2 H 1.99
Zn  0.0000  0.5000  0.5000 x2  2 H 2.00
H  0.0000  0.0000  0.5000 x1  2 Mg 1.99, 4 Zn 2.00
Pt  0.5000  0.5000  0.0000 x1  8 Zn 2.82, 4 Mg 2.83

5.
DFT (GGA-PBE) results for crystalline MgZnHPt2 at its relaxed geometry.

Calculated values
Calculated volume (Å³/cell): 64.2
Energy above the lowest structure with this stoichiometry (meV per atom): 0

Cell lengths 4.0074, 4.0074, 3.9974 Å; angles 90.00, 90.00, 90.00 degrees
Last column: nearest neighbours and their distance in Å.
Space group P4/mmm (No. 123)
Asymmetric unit:
Mg  0.0000  0.0000  0.0000 x1  2 H 2.00
Zn  0.5000  0.5000  0.0000 x1  8 Pt 2.83, 4 Mg 2.83
H  0.0000  0.0000  0.5000 x1  2 Mg 2.00, 4 Pt 2.00
Pt  0.0000  0.5000  0.5000 x2  2 H 2.00

6.
DFT (GGA-PBE) results for crystalline MgZr2HPt at its relaxed geometry.

Calculated values
Calculated volume (Å³/cell): 80.5
Energy above the lowest structure with this stoichiometry (meV per atom): 65

Cell lengths 4.4347, 4.4347, 4.0955 Å; angles 90.00, 90.00, 90.00 degrees
Last column: nearest neighbours and their distance in Å.
Space group P4/mmm (No. 123)
Asymmetric unit:
Mg  0.0000  0.0000  0.0000 x1  8 Zr 3.02, 4 Pt 3.14
Zr  0.0000  0.5000  0.5000 x2  2 H 2.22
H  0.5000  0.5000  0.5000 x1  2 Pt 2.05, 4 Zr 2.22
Pt  0.5000  0.5000  0.0000 x1  2 H 2.05

7.
DFT (GGA-PBE) results for crystalline MgZr2HPt at its relaxed geometry.

Calculated values
Calculated volume (Å³/cell): 79.5
Energy above the lowest structure with this stoichiometry (meV per atom): 0

Cell lengths 4.2632, 4.2632, 4.3755 Å; angles 90.00, 90.00, 90.00 degrees
Last column: nearest neighbours and their distance in Å.
Space group P4/mmm (No. 123)
Asymmetric unit:
Mg  0.0000  0.0000  0.0000 x1  2 H 2.19
Zr  0.0000  0.5000  0.5000 x2  2 H 2.13
H  0.0000  0.0000  0.5000 x1  4 Zr 2.13, 2 Mg 2.19
Pt  0.5000  0.5000  0.0000 x1  4 Mg 3.01, 8 Zr 3.05

8.
DFT (GGA-PBE) results for crystalline PuMgH4 at its relaxed geometry.

Calculated values
Calculated volume (Å³/cell): 61.8

Cell lengths 3.4645, 3.4645, 5.1505 Å; angles 90.00, 90.00, 90.00 degrees
Last column: nearest neighbours and their distance in Å.
Space group P4/mmm (No. 123)
Asymmetric unit:
Pu  0.0000  0.0000  0.0000 x1  8 H 2.23
Mg  0.5000  0.5000  0.5000 x1  8 H 2.09
H  0.0000  0.5000  0.2723 x4  2 Mg 2.09, 2 Pu 2.23

9.
DFT (GGA-PBE) results for crystalline PuMgH at its relaxed geometry.

Calculated values
Calculated volume (Å³/cell): 51.6
Energy above the lowest structure with this stoichiometry (meV per atom): 0

Cell lengths 3.2075, 3.2075, 5.7868 Å; angles 90.00, 90.00, 120.00 degrees
Last column: nearest neighbours and their distance in Å.
Space group P3m1 (No. 156)
Asymmetric unit:
Pu  0.0000  0.0000  0.0000 x1  3 H 2.30
Mg  0.3333  0.6667  0.4968 x1  3 H 2.39
H  0.6667  0.3333  0.2352 x1  3 Pu 2.30, 3 Mg 2.39

10.
DFT (GGA-PBE) results for crystalline Pu2MgH8 at its relaxed geometry.

Calculated values
Calculated volume (Å³/cell): 195.6

Cell lengths 3.7473, 4.7899, 10.8985 Å; angles 90.00, 90.00, 90.00 degrees
Last column: nearest neighbours and their distance in Å.
Space group Immm (No. 71)
Asymmetric unit:
Pu  0.0000  0.0000  0.1750 x4  12 H 2.24-2.41
Mg  0.0000  0.0000  0.5000 x2  4 H 1.98
H  0.0000  0.2437  0.0000 x4  2 Pu 2.24, 2 Mg 2.24, 8 H 2.33-2.48
H  0.0000  0.2520  0.3561 x8  1 Mg 1.98, 1 H 2.09
H  0.0000  0.5000  0.1978 x4  6 H 2.09-2.30, 2 Pu 2.33

11.
DFT (GGA-PBE) results for crystalline Pu2MgH at its relaxed geometry.

Calculated values
Calculated volume (Å³/cell): 254.1

Cell lengths 3.2110, 3.2110, 28.4613 Å; angles 90.00, 90.00, 120.00 degrees
Last column: nearest neighbours and their distance in Å.
Space group R-3m (No. 166, hexagonal axes)
Asymmetric unit:
Pu  0.0000  0.0000  0.1134 x6  3 H 2.39
Mg  0.0000  0.0000  0.0000 x3  6 Mg 3.21, 2 Pu 3.23
H  0.0000  0.0000  0.5000 x3  6 Pu 2.39

12.
DFT (GGA-PBE) results for crystalline Pu2MgH6 at its relaxed geometry.

Calculated values
Calculated volume (Å³/cell): 198.5

Cell lengths 3.5599, 5.1350, 10.8570 Å; angles 90.00, 90.00, 90.00 degrees
Last column: nearest neighbours and their distance in Å.
Space group Immm (No. 71)
Asymmetric unit:
Pu  0.0000  0.0000  0.1597 x4  8 H 2.23-2.27
Mg  0.0000  0.0000  0.5000 x2  8 H 2.13
H  0.0000  0.2321  0.3372 x8  1 Mg 2.13, 3 Pu 2.25-2.27, 1 H 2.38
H  0.0000  0.2718  0.0000 x4  2 Mg 2.13, 2 Pu 2.23, 1 H 2.34

Electronic total energy, record by record: -3.14; -4.07; -3.13; -2.95; -4.10; -6.03; -6.09; -5.17; -6.43; -5.54; -8.24; -5.90 eV per atom